#w
DFT (PBE) results for an optimized crystal structure of Sb4Pd2Pt.

Unit cell a=4.165 b=6.676 c=6.897 alpha=61.79 beta=89.93 gamma=71.73
Element x y z (fractional)
Pd: 0.731 0.537 0.707
Pd: 0.269 0.463 0.293
Sb: 0.894 0.214 0.543
Sb: 0.637 0.729 0.983
Sb: 0.106 0.786 0.457
Sb: 0.363 0.271 0.017
Pt: 0.000 0.000 0.000

---

#x
DFT (PBE) results for an optimized crystal structure of Sb4Pd2Pt.

Unit cell a=5.241 b=5.241 c=7.584 alpha=69.79 beta=69.79 gamma=90.00
Element x y z (fractional)
Pd: 0.602 0.602 0.797
Pd: 0.398 0.398 0.203
Sb: 0.000 0.500 0.000
Sb: 0.793 0.793 0.413
Sb: 0.207 0.207 0.587
Sb: 0.500 0.000 0.000
Pt: 0.000 0.000 0.000

---

How do the structures above rank in stability at the extremes? #w comes first and #x comes last.